Computed, not measured: a geometry-optimized TbErIrAu structure at the GGA-PBE level of DFT.

a b c (Å): 7.0099 7.0099 7.0099
angles (deg): 90.00 90.00 90.00
Space group F-43m (No. 216)
Inequivalent atoms, fractional coordinates:
Tb: 0.0000 0.0000 0.0000 (multiplicity 4)
Er: 0.0000 0.0000 0.5000 (multiplicity 4)
Ir: 0.2500 0.2500 0.2500 (multiplicity 4)
Au: 0.2500 0.2500 0.7500 (multiplicity 4)

Results
ΔE_f in eV/atom: -0.84
Calculated total energy in eV/atom: -6.168
Fermi-level density of states in states/eV/f.u.: 3.619
Size of the total moment in μB/f.u.: 0.0
Energy above the lowest structure with this stoichiometry in meV/atom: 15